No. 1
The following is a DFT calculation (PBE) of a relaxed LiBeTe2N crystal.

Properties
The calculation puts the excess energy over the best structure of this formula in the dataset at 0 meV/atom. The total energy comes out at -4.03 eV/atom. As for the symmetry: P4/mmm, No. 123. The calculation puts the uncorrected formation energy at 0.1 eV per formula unit. For the magnetization, the calculation gives 0.000 μB per cell.

Lattice parameters (Å, degrees): 5.5500 5.5500 3.0937 90.00 90.00 90.00
Fractional positions:
Li1 0.0000 0.0000 0.0000
Be1 0.5000 0.5000 0.5000
Te1 0.0000 0.5000 0.5000
Te2 0.5000 0.0000 0.5000
N1 0.5000 0.5000 0.0000



No. 2
The following is a DFT calculation (PBE) of a relaxed Lu2MgBe crystal.

Properties
The calculation puts the excess energy over the best structure of this formula in the dataset at 100 meV/atom. The total energy comes out at -3.50 eV/atom. The value obtained for the formation energy is 94 meV per atom. As for the symmetry: Fm-3m, No. 225. For the magnetization, the calculation gives 0.000 μB per cell.

Lattice parameters (Å, degrees): 4.9898 4.9898 4.9898 60.00 60.00 60.00
Fractional positions:
Lu1 0.2500 0.2500 0.2500
Lu2 0.7500 0.7500 0.7500
Mg1 0.0000 0.0000 0.0000
Be1 0.5000 0.5000 0.5000



No. 3
The following is a DFT calculation (PBE) of a relaxed Cs2BeGeS4 crystal.

Properties
The total energy comes out at -4.21 eV/atom. As for the symmetry: I-4, No. 82. The calculation puts the uncorrected formation energy at -7.1 eV per formula unit. For the magnetization, the calculation gives 0.000 μB per cell.

Lattice parameters (Å, degrees): 6.6171 6.6171 6.6171 115.30 115.30 98.35
Fractional positions:
Cs1 0.0000 0.0000 0.0000
Cs2 0.7500 0.2500 0.5000
Be1 0.5000 0.5000 0.0000
Ge1 0.2500 0.7500 0.5000
S1 0.2750 0.6342 0.1368
S2 0.3658 0.5027 0.6408
S3 0.4973 0.1382 0.8632
S4 0.8618 0.7250 0.3592



No. 4
The following is a DFT calculation (PBE) of a relaxed TcPt2W crystal.

Properties
The calculation puts the excess energy over the best structure of this formula in the dataset at 102 meV/atom. The total energy comes out at -8.97 eV/atom. The value obtained for the formation energy is -122 meV per atom. As for the symmetry: P4/mmm, No. 123. For the magnetization, the calculation gives 0.007 μB per cell.

Lattice parameters (Å, degrees): 2.7331 2.7331 8.1900 90.00 90.00 90.00
Fractional positions:
Tc1 0.0000 0.0000 0.0000
Pt1 0.5000 0.5000 0.2477
Pt2 0.5000 0.5000 0.7523
W1 0.0000 0.0000 0.5000



No. 5
The following is a DFT calculation (PBE) of a relaxed Be3FeS crystal.

Properties
The calculation puts the excess energy over the best structure of this formula in the dataset at 0 meV/atom. The total energy comes out at -3.88 eV/atom. As for the symmetry: Pm-3m, No. 221. The calculation puts the uncorrected formation energy at 4.4 eV per formula unit. For the magnetization, the calculation gives 2.346 μB per cell.

Lattice parameters (Å, degrees): 3.9850 3.9850 3.9850 90.00 90.00 90.00
Fractional positions:
Be1 0.0000 0.0000 0.5000
Be2 0.0000 0.5000 0.0000
Be3 0.5000 0.0000 0.0000
Fe1 0.5000 0.5000 0.5000
S1 0.0000 0.0000 0.0000



No. 6
The following is a DFT calculation (PBE) of a relaxed ZnP3Pb crystal.

Properties
The calculation puts the excess energy over the best structure of this formula in the dataset at 0 meV/atom. The total energy comes out at -3.52 eV/atom. The value obtained for the formation energy is 723 meV per atom. As for the symmetry: Pm-3m, No. 221. For the magnetization, the calculation gives 0.000 μB per cell.

Lattice parameters (Å, degrees): 4.7452 4.7452 4.7452 90.00 90.00 90.00
Fractional positions:
Zn1 0.0000 0.0000 0.0000
P1 0.0000 0.0000 0.5000
P2 0.0000 0.5000 0.0000
P3 0.5000 0.0000 0.0000
Pb1 0.5000 0.5000 0.5000



No. 7
The following is a DFT calculation (PBE) of a relaxed HfTcPCl2 crystal.

Properties
The calculation puts the excess energy over the best structure of this formula in the dataset at 0 meV/atom. The total energy comes out at -5.68 eV/atom. As for the symmetry: P4/mmm, No. 123. The calculation puts the uncorrected formation energy at 1.0 eV per formula unit. For the magnetization, the calculation gives 4.636 μB per cell.

Lattice parameters (Å, degrees): 4.8443 4.8443 5.1990 90.00 90.00 90.00
Fractional positions:
Hf1 0.0000 0.0000 0.0000
Tc1 0.5000 0.5000 0.5000
P1 0.0000 0.0000 0.5000
Cl1 0.0000 0.5000 0.0000
Cl2 0.5000 0.0000 0.0000



No. 8
The following is a DFT calculation (PBE) of a relaxed V2IrI crystal.

Properties
The calculation puts the excess energy over the best structure of this formula in the dataset at 115 meV/atom. The total energy comes out at -6.52 eV/atom. As for the symmetry: I-42d, No. 122. The calculation puts the uncorrected formation energy at 2.6 eV per formula unit. For the magnetization, the calculation gives 7.091 μB per cell.

Lattice parameters (Å, degrees): 7.0342 7.0342 7.0342 129.63 129.63 74.00
Fractional positions:
V1 0.0728 0.6250 0.9478
V2 0.3750 0.3228 0.4478
V3 0.6772 0.1250 0.0522
V4 0.8750 0.9272 0.5522
Ir1 0.0000 0.0000 0.0000
Ir2 0.7500 0.2500 0.5000
I1 0.2500 0.7500 0.5000
I2 0.5000 0.5000 0.0000



No. 9
The following is a DFT calculation (PBE) of a relaxed Ac6Ir2RhS3 crystal.

Properties
The total energy comes out at -6.47 eV/atom. As for the symmetry: C2/m, No. 12. The calculation puts the uncorrected formation energy at -15.6 eV per formula unit. For the magnetization, the calculation gives 0.000 μB per cell.

Lattice parameters (Å, degrees): 9.9195 9.9195 8.9459 106.34 106.34 24.96
Fractional positions:
Ac1 0.0039 0.0039 0.2418
Ac2 0.3289 0.3289 0.4275
Ac3 0.3366 0.3366 0.9069
Ac4 0.6634 0.6634 0.0931
Ac5 0.6711 0.6711 0.5725
Ac6 0.9961 0.9961 0.7582
Ir1 0.1660 0.1660 0.3314
Ir2 0.8340 0.8340 0.6686
Rh1 0.5000 0.5000 0.0000
S1 0.1662 0.1662 0.8329
S2 0.5000 0.5000 0.5000
S3 0.8338 0.8338 0.1671



No. 10
The following is a DFT calculation (PBE) of a relaxed ReTeP crystal.

Properties
The calculation puts the excess energy over the best structure of this formula in the dataset at 212 meV/atom. The total energy comes out at -6.60 eV/atom. As for the symmetry: F-43m, No. 216. The calculation puts the uncorrected formation energy at 1.2 eV per formula unit. For the magnetization, the calculation gives 0.000 μB per cell.

Lattice parameters (Å, degrees): 4.3603 4.3603 4.3603 60.00 60.00 60.00
Fractional positions:
Re1 0.0000 0.0000 0.0000
Te1 0.2500 0.2500 0.2500
P1 0.7500 0.7500 0.7500



No. 11
The following is a DFT calculation (PBE) of a relaxed Tb2CeEr5 crystal.

Properties
The calculation puts the excess energy over the best structure of this formula in the dataset at 0 meV/atom. The total energy comes out at -4.71 eV/atom. The value obtained for the formation energy is 41 meV per atom. As for the symmetry: Pbam, No. 55. For the magnetization, the calculation gives 2.010 μB per cell.

Lattice parameters (Å, degrees): 7.0433 14.0939 4.9813 90.00 90.00 90.00
Fractional positions:
Tb1 0.2477 0.1240 0.0000
Tb2 0.2523 0.6240 0.0000
Tb3 0.7477 0.3760 0.0000
Tb4 0.7523 0.8760 0.0000
Ce1 0.0000 0.0000 0.5000
Ce2 0.5000 0.5000 0.5000
Er1 0.0000 0.5000 0.5000
Er2 0.0021 0.2501 0.5000
Er3 0.2450 0.8759 0.0000
Er4 0.2550 0.3759 0.0000
Er5 0.4979 0.7501 0.5000
Er6 0.5000 0.0000 0.5000
Er7 0.5021 0.2499 0.5000
Er8 0.7450 0.6241 0.0000
Er9 0.7550 0.1241 0.0000
Er10 0.9979 0.7499 0.5000



No. 12
The following is a DFT calculation (PBE) of a relaxed Np2PaCrN4 crystal.

Properties
The total energy comes out at -10.85 eV/atom. As for the symmetry: Cmcm, No. 63. The calculation puts the uncorrected formation energy at -8.5 eV per formula unit. For the magnetization, the calculation gives 9.519 μB per cell.

Lattice parameters (Å, degrees): 5.9311 5.9311 11.4316 90.00 90.00 147.96
Fractional positions:
Np1 0.1341 0.8659 0.5533
Np2 0.1341 0.8659 0.9467
Np3 0.8659 0.1341 0.0533
Np4 0.8659 0.1341 0.4467
Pa1 0.3935 0.6065 0.7500
Pa2 0.6065 0.3935 0.2500
Cr1 0.3467 0.6533 0.2500
Cr2 0.6533 0.3467 0.7500
N1 0.0464 0.9536 0.7500
N2 0.2225 0.7775 0.1296
N3 0.2225 0.7775 0.3704
N4 0.5000 0.5000 0.0000
N5 0.5000 0.5000 0.5000
N6 0.7775 0.2225 0.6296
N7 0.7775 0.2225 0.8704
N8 0.9536 0.0464 0.2500